Here is V2GaCo9 after structural relaxation from Alexandria. Energies are from PBE.

CIF file:
```
data_V2GaCo9
_chemical_formula_sum 'V2 Ga1 Co9'
_space_group_name_H-M_alt 'P 1'
_space_group_IT_number 1
_cell_length_a 3.5568
_cell_length_b 3.5568
_cell_length_c 10.6188
_cell_angle_alpha 90.00
_cell_angle_beta 90.00
_cell_angle_gamma 90.00
loop_
_space_group_symop_operation_xyz
'x,y,z'
loop_
_atom_site_label
_atom_site_type_symbol
_atom_site_fract_x
_atom_site_fract_y
_atom_site_fract_z
V1 V 0.0000 0.0000 0.3318
V2 V 0.0000 0.0000 0.6682
Ga1 Ga 0.0000 0.0000 0.0000
Co1 Co 0.5000 0.5000 0.0000
Co2 Co 0.5000 0.5000 0.3349
Co3 Co 0.5000 0.5000 0.6651
Co4 Co 0.5000 0.0000 0.1704
Co5 Co 0.5000 0.0000 0.5000
Co6 Co 0.5000 0.0000 0.8296
Co7 Co 0.0000 0.5000 0.1704
Co8 Co 0.0000 0.5000 0.5000
Co9 Co 0.0000 0.5000 0.8296
```

Output
* space group: No. 123
* energy relative to the elements: -0.135 eV per atom

***

Here is RbMo3Pb after structural relaxation from Alexandria. Energies are from PBE.

CIF file:
```
data_RbMo3Pb
_chemical_formula_sum 'Rb1 Mo3 Pb1'
_space_group_name_H-M_alt 'P 1'
_space_group_IT_number 1
_cell_length_a 5.5005
_cell_length_b 5.5005
_cell_length_c 5.5005
_cell_angle_alpha 90.00
_cell_angle_beta 90.00
_cell_angle_gamma 90.00
loop_
_space_group_symop_operation_xyz
'x,y,z'
loop_
_atom_site_label
_atom_site_type_symbol
_atom_site_fract_x
_atom_site_fract_y
_atom_site_fract_z
Pb1 Pb 0.0000 0.0000 0.0000
Mo1 Mo 0.0000 0.5000 0.0000
Mo2 Mo 0.0000 0.0000 0.5000
Mo3 Mo 0.5000 0.0000 0.0000
Rb1 Rb 0.5000 0.5000 0.5000
```

Output
* space group: No. 221
* distance to the lowest polymorph of the same formula: 0.0 meV/atom
* energy relative to the elements: 2.431 eV per atom

***

Here is BaSbSe after structural relaxation from Alexandria. Energies are from PBE.

CIF file:
```
data_BaSbSe
_chemical_formula_sum 'Ba1 Sb1 Se1'
_space_group_name_H-M_alt 'P 1'
_space_group_IT_number 1
_cell_length_a 5.3535
_cell_length_b 5.3535
_cell_length_c 5.3535
_cell_angle_alpha 60.00
_cell_angle_beta 60.00
_cell_angle_gamma 60.00
loop_
_space_group_symop_operation_xyz
'x,y,z'
loop_
_atom_site_label
_atom_site_type_symbol
_atom_site_fract_x
_atom_site_fract_y
_atom_site_fract_z
Ba1 Ba 0.0000 0.0000 0.0000
Sb1 Sb 0.5000 0.5000 0.5000
Se1 Se 0.7500 0.7500 0.7500
```

Output
* space group: No. 216
* E_form (uncorrected): -60.6 kJ/mol of atoms